## RbSiTeI2 (GGA-PBE)

Data for an optimized crystal structure of RbSiTeI2.

Density of states at the Fermi level in states/eV per atom: 1.388
Space-group type: P4/mmm (123)
Uncorrected formation energy in meV/atom: 797
Total moment in μB per atom: 0.210

CIF file:
```
data_RbSiTeI2
_cell_length_a 6.6822
_cell_length_b 6.6822
_cell_length_c 6.7006
_cell_angle_alpha 90.00
_cell_angle_beta 90.00
_cell_angle_gamma 90.00
_symmetry_space_group_name_H-M 'P 1'
_symmetry_Int_Tables_number 1
_symmetry_space_group_name_Hall 'P 1'
loop_
_atom_site_label
_atom_site_fract_x
_atom_site_fract_y
_atom_site_fract_z
I1 0.0000 0.5000 0.0000
I2 0.5000 0.0000 0.0000
Si1 0.5000 0.5000 0.5000
Te1 0.0000 0.0000 0.5000
Rb1 0.0000 0.0000 0.0000
```

---

## RbSiTeI2 (GGA-PBE)

Data for an optimized crystal structure of RbSiTeI2.

Density of states at the Fermi level in states/eV per atom: 1.171
Space-group type: P4/mmm (123)
Uncorrected formation energy in meV/atom: -400
Total moment in μB per atom: 0.000

CIF file:
```
data_RbSiTeI2
_cell_length_a 5.8563
_cell_length_b 5.8563
_cell_length_c 5.4416
_cell_angle_alpha 90.00
_cell_angle_beta 90.00
_cell_angle_gamma 90.00
_symmetry_space_group_name_H-M 'P 1'
_symmetry_Int_Tables_number 1
_symmetry_space_group_name_Hall 'P 1'
loop_
_atom_site_label
_atom_site_fract_x
_atom_site_fract_y
_atom_site_fract_z
I1 0.0000 0.5000 0.0000
I2 0.5000 0.0000 0.0000
Si1 0.0000 0.0000 0.0000
Te1 0.0000 0.0000 0.5000
Rb1 0.5000 0.5000 0.5000
```

---

## Rb2TiSiI6 (GGA-PBE)

Data for an optimized crystal structure of Rb2TiSiI6.

Density of states at the Fermi level in states/eV per atom: 0.940
Space-group type: Fm-3m (225)
Uncorrected formation energy in meV/atom: -726
Total moment in μB per atom: 0.200

CIF file:
```
data_Rb2TiSiI6
_cell_length_a 8.2632
_cell_length_b 8.2632
_cell_length_c 8.2621
_cell_angle_alpha 60.00
_cell_angle_beta 60.00
_cell_angle_gamma 90.00
_symmetry_space_group_name_H-M 'P 1'
_symmetry_Int_Tables_number 1
_symmetry_space_group_name_Hall 'P 1'
loop_
_atom_site_label
_atom_site_fract_x
_atom_site_fract_y
_atom_site_fract_z
I1 0.2485 0.2485 0.5031
I2 0.7515 0.7515 0.4969
I3 0.2483 0.2483 0.0000
I4 0.7517 0.7517 0.0000
I5 0.7517 0.2483 0.0000
I6 0.2483 0.7517 0.0000
Si1 0.5000 0.5000 0.0000
Rb1 0.7500 0.2500 0.5000
Rb2 0.2500 0.7500 0.5000
Ti1 0.0000 0.0000 0.0000
```

---

## Rb2VSiI6 (GGA-PBE)

Data for an optimized crystal structure of Rb2VSiI6.

Density of states at the Fermi level in states/eV per atom: 0.000
Space-group type: Fm-3m (225)
Uncorrected formation energy in meV/atom: -671
Total moment in μB per atom: 0.300

CIF file:
```
data_Rb2VSiI6
_cell_length_a 8.2082
_cell_length_b 8.2082
_cell_length_c 8.2075
_cell_angle_alpha 60.00
_cell_angle_beta 60.00
_cell_angle_gamma 90.00
_symmetry_space_group_name_H-M 'P 1'
_symmetry_Int_Tables_number 1
_symmetry_space_group_name_Hall 'P 1'
loop_
_atom_site_label
_atom_site_fract_x
_atom_site_fract_y
_atom_site_fract_z
I1 0.2474 0.2474 0.5052
I2 0.7526 0.7526 0.4948
I3 0.2473 0.2473 0.0000
I4 0.7527 0.7527 0.0000
I5 0.7527 0.2473 0.0000
I6 0.2473 0.7527 0.0000
Si1 0.5000 0.5000 0.0000
Rb1 0.7500 0.2500 0.5000
Rb2 0.2500 0.7500 0.5000
V1 0.0000 0.0000 0.0000
```

---

## Rb2ZnSiI6 (GGA-PBE)

Data for an optimized crystal structure of Rb2ZnSiI6.

Density of states at the Fermi level in states/eV per atom: 0.007
Space-group type: I4/mmm (139)
Uncorrected formation energy in meV/atom: -708
Total moment in μB per atom: 0.000

CIF file:
```
data_Rb2ZnSiI6
_cell_length_a 8.2009
_cell_length_b 8.2009
_cell_length_c 8.2108
_cell_angle_alpha 60.04
_cell_angle_beta 60.04
_cell_angle_gamma 90.00
_symmetry_space_group_name_H-M 'P 1'
_symmetry_Int_Tables_number 1
_symmetry_space_group_name_Hall 'P 1'
loop_
_atom_site_label
_atom_site_fract_x
_atom_site_fract_y
_atom_site_fract_z
I1 0.2497 0.2497 0.5007
I2 0.7503 0.7503 0.4993
I3 0.2492 0.2492 0.0000
I4 0.7508 0.7508 0.0000
I5 0.7508 0.2492 0.0000
I6 0.2492 0.7508 0.0000
Zn1 0.0000 0.0000 0.0000
Si1 0.5000 0.5000 0.0000
Rb1 0.7500 0.2500 0.5000
Rb2 0.2500 0.7500 0.5000
```

---

## Rb2ZrSiI6 (GGA-PBE)

Data for an optimized crystal structure of Rb2ZrSiI6.

Density of states at the Fermi level in states/eV per atom: 0.695
Space-group type: I4/mmm (139)
Uncorrected formation energy in meV/atom: -712
Total moment in μB per atom: 0.200

CIF file:
```
data_Rb2ZrSiI6
_cell_length_a 8.2642
_cell_length_b 8.2642
_cell_length_c 8.6877
_cell_angle_alpha 61.60
_cell_angle_beta 61.60
_cell_angle_gamma 90.00
_symmetry_space_group_name_H-M 'P 1'
_symmetry_Int_Tables_number 1
_symmetry_space_group_name_Hall 'P 1'
loop_
_atom_site_label
_atom_site_fract_x
_atom_site_fract_y
_atom_site_fract_z
I1 0.2290 0.2290 0.5420
I2 0.7710 0.7710 0.4580
I3 0.2517 0.2517 0.0000
I4 0.7483 0.7483 0.0000
I5 0.7483 0.2517 0.0000
I6 0.2517 0.7483 0.0000
Si1 0.5000 0.5000 0.0000
Rb1 0.7500 0.2500 0.5000
Rb2 0.2500 0.7500 0.5000
Zr1 0.0000 0.0000 0.0000
```

---

## Rb3SmI6 (GGA-PBE)

Data for an optimized crystal structure of Rb3SmI6.

Density of states at the Fermi level in states/eV per atom: 0.000
Space-group type: P2_1/c (14)
Uncorrected formation energy in meV/atom: -1477
Total moment in μB per atom: 0.000

CIF file:
```
data_Rb3SmI6
_cell_length_a 8.7507
_cell_length_b 9.3913
_cell_length_c 12.4897
_cell_angle_alpha 90.00
_cell_angle_beta 88.22
_cell_angle_gamma 90.00
_symmetry_space_group_name_H-M 'P 1'
_symmetry_Int_Tables_number 1
_symmetry_space_group_name_Hall 'P 1'
loop_
_atom_site_label
_atom_site_fract_x
_atom_site_fract_y
_atom_site_fract_z
Rb1 0.5349 0.9163 0.7584
Rb2 0.5000 0.5000 0.0000
Rb3 0.4651 0.0837 0.2416
Rb4 0.0349 0.5837 0.2584
Rb5 0.0000 0.0000 0.5000
Rb6 0.9651 0.4163 0.7416
Sm1 0.5000 0.5000 0.5000
Sm2 0.0000 0.0000 0.0000
I1 0.7143 0.1764 0.9430
I2 0.6614 0.2240 0.5775
I3 0.6369 0.4446 0.2717
I4 0.3631 0.5554 0.7283
I5 0.3386 0.7760 0.4225
I6 0.2857 0.8236 0.0570
I7 0.2143 0.3236 0.4430
I8 0.1614 0.2760 0.0775
I9 0.1369 0.0554 0.7717
I10 0.8631 0.9446 0.2283
I11 0.8386 0.7240 0.9225
I12 0.7857 0.6764 0.5570
```

---

## Rb2Sm2I7 (GGA-PBE)

Data for an optimized crystal structure of Rb2Sm2I7.

Density of states at the Fermi level in states/eV per atom: 0.369
Space-group type: C2/m (12)
Uncorrected formation energy in meV/atom: -1289
Total moment in μB per atom: 0.087

CIF file:
```
data_Rb2Sm2I7
_cell_length_a 8.2849
_cell_length_b 8.3115
_cell_length_c 8.3115
_cell_angle_alpha 70.23
_cell_angle_beta 97.33
_cell_angle_gamma 97.33
_symmetry_space_group_name_H-M 'P 1'
_symmetry_Int_Tables_number 1
_symmetry_space_group_name_Hall 'P 1'
loop_
_atom_site_label
_atom_site_fract_x
_atom_site_fract_y
_atom_site_fract_z
Rb1 0.5000 0.7665 0.2335
Rb2 0.5000 0.2335 0.7665
Sm1 0.9566 0.7609 0.7609
Sm2 0.0434 0.2391 0.2391
I1 0.2397 0.9442 0.5147
I2 0.7603 0.4853 0.0558
I3 0.7603 0.0558 0.4853
I4 0.2397 0.5147 0.9442
I5 0.0000 0.0000 0.0000
I6 0.7915 0.5479 0.5479
I7 0.2085 0.4521 0.4521
```